Entry 1:
Material: Dy2YTm7
Method: DFT, PBE-GGA
State: relaxed

The structure belongs to space group Immm (No. 71); the cell edges are 5.361, 6.955 and 16.473 Å and the angles 90.00°, 90.00° and 90.00°. Symmetry generates all atoms from Dy at (0.000, 0.000, 0.199), Y at (0.000, 0.500, 0.000), Tm at (0.000, 0.000, 0.000), Tm at (0.000, 0.251, 0.390) and Tm at (0.000, 0.500, 0.200).

For the total moment, the calculation gives 0.0 μB per cell. As for the calculated total energy: -92.8 eV for the cell shown. The calculation puts the energy relative to the lowest polymorph listed for this composition at 0 kJ/mol of formula units. The formation energy is 0.055 eV per atom. Its density of states at the Fermi level is 37.0 states/eV/cell.

=====

Entry 2:
Material: Nb2GaMoH
Method: DFT, PBE-GGA
State: relaxed

The structure belongs to space group P4/mmm (No. 123); the cell edges are 4.181, 4.181 and 3.974 Å and the angles 90.00°, 90.00° and 90.00°. Symmetry generates all atoms from Nb at (0.000, 0.500, 0.000), Ga at (0.000, 0.000, 0.500), Mo at (0.500, 0.500, 0.500) and H at (0.500, 0.500, 0.000).

For the total moment, the calculation gives 0.0 μB per cell. As for the calculated total energy: -38.1 eV for the cell shown. Its density of states at the Fermi level is 2.4 states/eV/cell.

=====

Entry 3:
Material: MnTl2P2S6
Method: DFT, PBE-GGA
State: relaxed

The structure belongs to space group R-3m (No. 166, hexagonal axes); the cell edges are 6.7558, 6.7558 and 19.8572 Å and the angles 90.00°, 90.00° and 120.00°. Symmetry generates all atoms from Mn at (0.0000, 0.0000, 0.0000), Tl at (0.0000, 0.0000, 0.2317), P at (0.0000, 0.0000, 0.4412) and S at (0.0074, 0.5037, 0.7540).

For the total moment, the calculation gives 15.0 μB per cell. The uncorrected formation energy comes out at -27 kJ per mole of atoms. As for the calculated total energy: -157.7 eV for the cell shown. Its density of states at the Fermi level is 1.2 states/eV/cell.

=====

Entry 4:
Material: LaNdSiIr
Method: DFT, PBE-GGA
State: relaxed

The structure belongs to space group Amm2 (No. 38); the cell edges are 4.113, 4.359 and 10.957 Å and the angles 90.00°, 90.00° and 90.00°. Symmetry generates all atoms from La at (0.000, 0.000, 0.000), Nd at (0.500, 0.000, 0.718), Si at (0.000, 0.000, 0.297) and Ir at (0.500, 0.000, 0.431).

For the total moment, the calculation gives 0.0 μB per cell. The uncorrected formation energy comes out at -74 kJ per mole of atoms. As for the calculated total energy: -54.1 eV for the cell shown. Its density of states at the Fermi level is 5.6 states/eV/cell.

=====

Entry 5:
Material: Ba2SrTm
Method: DFT, PBE-GGA
State: relaxed

The structure belongs to space group P4/mmm (No. 123); the cell edges are 4.417, 4.417 and 10.311 Å and the angles 90.00°, 90.00° and 90.00°. Symmetry generates all atoms from Ba at (0.000, 0.000, 0.215), Sr at (0.500, 0.500, 0.500) and Tm at (0.500, 0.500, 0.000).

For the total moment, the calculation gives 0.0 μB per cell. As for the calculated total energy: -9.3 eV for the cell shown. The calculation puts the energy relative to the lowest polymorph listed for this composition at 0 kJ/mol of formula units. The formation energy is 0.179 eV per atom. Its density of states at the Fermi level is 5.8 states/eV/cell.

=====

Entry 6:
Material: LiGaC
Method: DFT, PBE-GGA
State: relaxed

The structure belongs to space group P2_1/c (No. 14); the cell edges are 4.951, 5.546 and 7.063 Å and the angles 90.00°, 126.60° and 90.00°. Symmetry generates all atoms from Li at (0.163, 0.055, 0.392), Ga at (0.411, 0.604, 0.626) and C at (0.350, 0.708, 0.328).

For the total moment, the calculation gives 0.0 μB per cell. As for the calculated total energy: -52.8 eV for the cell shown. The formation energy is 0.318 eV per atom. Its density of states at the Fermi level is 0.0 states/eV/cell.

=====

Entry 7:
Material: Dy3Ag4Hg2
Method: DFT, PBE-GGA
State: relaxed

The structure belongs to space group C2/c (No. 15); the cell edges are 14.195, 11.268 and 5.299 Å and the angles 90.00°, 100.71° and 90.00°. Symmetry generates all atoms from Dy at (0.000, 0.131, 0.250), Dy at (0.166, 0.378, 0.077), Ag at (0.054, 0.382, 0.521), Ag at (0.226, 0.130, 0.369) and Hg at (0.114, 0.126, 0.810).

For the total moment, the calculation gives 0.0 μB per cell. As for the calculated total energy: -113.1 eV for the cell shown. The calculation puts the energy relative to the lowest polymorph listed for this composition at 37 kJ/mol of formula units. The formation energy is -0.274 eV per atom. Its density of states at the Fermi level is 21.8 states/eV/cell.

=====

Entry 8:
Material: Ac2Pr4Hg3N2
Method: DFT, PBE-GGA
State: relaxed

The structure belongs to space group I4/mmm (No. 139); the cell edges are 5.045, 5.045 and 25.191 Å and the angles 90.00°, 90.00° and 90.00°. Symmetry generates all atoms from Ac at (0.000, 0.000, 0.197), Pr at (0.000, 0.500, 0.082), Hg at (0.000, 0.000, 0.331), Hg at (0.000, 0.000, 0.500) and N at (0.000, 0.000, 0.103).

For the total moment, the calculation gives 0.0 μB per cell. The uncorrected formation energy comes out at -63 kJ per mole of atoms. As for the calculated total energy: -104.0 eV for the cell shown. Its density of states at the Fermi level is 27.3 states/eV/cell.

=====

Entry 9:
Material: TlCuRe3
Method: DFT, PBE-GGA
State: relaxed

The structure belongs to space group Pm-3m (No. 221); the cell edges are 4.940, 4.940 and 4.940 Å and the angles 90.00°, 90.00° and 90.00°. Symmetry generates all atoms from Tl at (0.000, 0.000, 0.000), Cu at (0.500, 0.500, 0.500) and Re at (0.000, 0.000, 0.500).

For the total moment, the calculation gives 3.9 μB per cell. As for the calculated total energy: -25.8 eV for the cell shown. The calculation puts the energy relative to the lowest polymorph listed for this composition at 739 kJ/mol of formula units. The formation energy is 3.599 eV per atom. Its density of states at the Fermi level is 7.6 states/eV/cell.

=====

Entry 10:
Material: TlCrRe2
Method: DFT, PBE-GGA
State: relaxed

The structure belongs to space group Fm-3m (No. 225); the cell edges are 6.337, 6.337 and 6.337 Å and the angles 90.00°, 90.00° and 90.00°. Symmetry generates all atoms from Tl at (0.000, 0.000, 0.000), Cr at (0.000, 0.000, 0.500) and Re at (0.250, 0.250, 0.250).

For the total moment, the calculation gives 3.1 μB per cell. As for the calculated total energy: -132.5 eV for the cell shown. The calculation puts the energy relative to the lowest polymorph listed for this composition at 165 kJ/mol of formula units. The formation energy is 0.942 eV per atom. Its density of states at the Fermi level is 18.9 states/eV/cell.

=====

Entry 11:
Material: La2ThAg
Method: DFT, PBE-GGA
State: relaxed

The structure belongs to space group P4/mmm (No. 123); the cell edges are 3.712, 3.712 and 8.897 Å and the angles 90.00°, 90.00° and 90.00°. Symmetry generates all atoms from La at (0.000, 0.000, 0.229), Th at (0.500, 0.500, 0.500) and Ag at (0.500, 0.500, 0.000).

For the total moment, the calculation gives 0.0 μB per cell. As for the calculated total energy: -20.7 eV for the cell shown. The calculation puts the energy relative to the lowest polymorph listed for this composition at 0 kJ/mol of formula units. The formation energy is -0.132 eV per atom. Its density of states at the Fermi level is 4.4 states/eV/cell.

=====

Entry 12:
Material: KSc2Hg
Method: DFT, PBE-GGA
State: relaxed

The structure belongs to space group Cm (No. 8); the cell edges are 10.555, 3.345 and 7.321 Å and the angles 90.00°, 97.78° and 90.00°. Symmetry generates all atoms from K at (0.000, 0.000, 0.000), Sc at (0.219, 0.000, 0.641), Sc at (0.484, 0.000, 0.477) and Hg at (0.249, 0.500, 0.324).

For the total moment, the calculation gives 2.2 μB per cell. As for the calculated total energy: -26.2 eV for the cell shown. The formation energy is 0.241 eV per atom. Its density of states at the Fermi level is 10.2 states/eV/cell.